Entry 1:
## NaGaGe2 (GGA-PBE)

Data for a relaxed NaGaGe2 crystal.

Calculated values
**Calculated volume**: 190.6 Å³ per cell
**Formation energy**: 154 meV per atom
**Space group**: I-42d (122)
**VASP energy**: -25.926 eV for the cell shown

a = 9.379 Å, b = 9.379 Å, c = 9.379 Å
α = 151.24°, β = 151.24°, γ = 41.12°
Element x y z (fractional)
Na 0.000 0.000 0.000
Na 0.750 0.250 0.500
Ga 0.250 0.750 0.500
Ga 0.500 0.500 0.000
Ge 0.207 0.625 0.082
Ge 0.375 0.457 0.582
Ge 0.543 0.125 0.918
Ge 0.875 0.793 0.418

Entry 2:
## NaGaGe (GGA-PBE)

Data for a relaxed NaGaGe crystal.

Calculated values
**Calculated volume**: 128.9 Å³ per cell
**Formation energy**: 68 meV per atom
**Space group**: Cmcm (63)
**VASP energy**: -17.521 eV for the cell shown

a = 7.371 Å, b = 7.371 Å, c = 3.793 Å
α = 90.00°, β = 90.00°, γ = 141.29°
Element x y z (fractional)
Na 0.093 0.907 0.750
Na 0.907 0.093 0.250
Ga 0.274 0.726 0.250
Ga 0.726 0.274 0.750
Ge 0.438 0.562 0.750
Ge 0.562 0.438 0.250

Entry 3:
## NaGaGe (GGA-PBE)

Data for a relaxed NaGaGe crystal.

Calculated values
**Calculated volume**: 153.4 Å³ per cell
**Formation energy**: 61 meV per atom
**Space group**: Cmme (67)
**VASP energy**: -17.562 eV for the cell shown

a = 6.241 Å, b = 6.241 Å, c = 4.257 Å
α = 90.00°, β = 90.00°, γ = 112.27°
Element x y z (fractional)
Na 0.250 0.250 0.000
Na 0.750 0.750 0.000
Ga 0.000 0.500 0.500
Ga 0.500 0.000 0.500
Ge 0.250 0.750 0.920
Ge 0.750 0.250 0.080

Entry 4:
## NaGa3Ge (GGA-PBE)

Data for a relaxed NaGa3Ge crystal.

Calculated values
**Calculated volume**: 136.8 Å³ per cell
**Offset from the most stable computed form**: 0.399 eV per atom
**Formation energy**: 276 meV per atom
**Space group**: Pm-3m (221)
**VASP energy**: -13.638 eV for the cell shown

a = 5.153 Å, b = 5.153 Å, c = 5.153 Å
α = 90.00°, β = 90.00°, γ = 90.00°
Element x y z (fractional)
Na 0.000 0.000 0.000
Ga 0.000 0.500 0.500
Ga 0.500 0.000 0.500
Ga 0.500 0.500 0.000
Ge 0.500 0.500 0.500

Entry 5:
## NaGaGe2 (GGA-PBE)

Data for a relaxed NaGaGe2 crystal.

Calculated values
**Calculated volume**: 84.6 Å³ per cell
**Formation energy**: 1 meV per atom
**Space group**: P4/mmm (123)
**VASP energy**: -13.578 eV for the cell shown

a = 3.558 Å, b = 3.558 Å, c = 6.683 Å
α = 90.00°, β = 90.00°, γ = 90.00°
Element x y z (fractional)
Na 0.000 0.000 0.000
Ga 0.000 0.000 0.500
Ge 0.500 0.500 0.306
Ge 0.500 0.500 0.694

Entry 6:
## NaGaGe (GGA-PBE)

Data for a relaxed NaGaGe crystal.

Calculated values
**Calculated volume**: 248.8 Å³ per cell
**Formation energy**: -102 meV per atom
**Space group**: P2_1/c (14)
**VASP energy**: -37.077 eV for the cell shown

a = 5.768 Å, b = 7.494 Å, c = 7.284 Å
α = 90.00°, β = 127.80°, γ = 90.00°
Element x y z (fractional)
Na 0.200 0.205 0.098
Na 0.200 0.295 0.598
Na 0.800 0.705 0.402
Na 0.800 0.795 0.902
Ga 0.268 0.587 0.950
Ga 0.268 0.913 0.450
Ga 0.732 0.087 0.550
Ga 0.732 0.413 0.050
Ge 0.261 0.580 0.320
Ge 0.261 0.920 0.820
Ge 0.739 0.080 0.180
Ge 0.739 0.420 0.680